--- P ---
First-principles (PBE-GGA) data for LiIn2Cu2 after structural relaxation, as listed in the Alexandria database.

```
LiIn2Cu2
1.0
4.4775 0.0000 0.0000
-2.2388 3.8777 0.0000
0.0000 0.0000 5.2512
Li In Cu
1 2 2
direct
0.0000 0.0000 0.0000 Li
0.3333 0.6667 0.3493 In
0.6667 0.3333 0.6507 In
0.3333 0.6667 0.8587 Cu
0.6667 0.3333 0.1413 Cu
```

Output
Crystal system: trigonal
D(E_F): 1.06 states/eV/f.u.
Volume: 18.24 Å³/atom
Space group: P-3m1, No. 164
Magnetization: 0.000 μB per atom



--- Q ---
First-principles (PBE-GGA) data for LiIn2Cu2 after structural relaxation, as listed in the Alexandria database.

```
LiIn2Cu2
1.0
7.7457 0.0000 0.0000
0.0000 7.7457 0.0000
0.0000 0.0000 3.0593
Li In Cu
2 4 4
direct
0.0000 0.0000 0.0000 Li
0.5000 0.5000 0.0000 Li
0.1442 0.3558 0.0000 In
0.3558 0.8558 0.0000 In
0.6442 0.1442 0.0000 In
0.8558 0.6442 0.0000 In
0.1561 0.6561 0.5000 Cu
0.3439 0.1561 0.5000 Cu
0.6561 0.8439 0.5000 Cu
0.8439 0.3439 0.5000 Cu
```

Output
Crystal system: tetragonal
D(E_F): 1.32 states/eV/f.u.
Volume: 18.35 Å³/atom
Space group: P4/mbm, No. 127
Magnetization: 0.000 μB per atom



--- R ---
First-principles (PBE-GGA) data for LiIn2Cu2 after structural relaxation, as listed in the Alexandria database.

```
LiIn2Cu2
1.0
-1.7654 1.7654 7.3646
1.7654 -1.7654 7.3646
1.7654 1.7654 -7.3646
Li In Cu
1 2 2
direct
0.0000 0.0000 0.0000 Li
0.3934 0.3934 0.0000 In
0.6066 0.6066 0.0000 In
0.2500 0.7500 0.5000 Cu
0.7500 0.2500 0.5000 Cu
```

Output
Crystal system: tetragonal
D(E_F): 1.71 states/eV/f.u.
Volume: 18.36 Å³/atom
Space group: I4/mmm, No. 139
Magnetization: 0.000 μB per atom



--- S ---
First-principles (PBE-GGA) data for LiIn2Cu2 after structural relaxation, as listed in the Alexandria database.

```
LiIn2Cu2
1.0
-2.2532 2.2532 5.1423
2.2532 -2.2532 5.1423
2.2532 2.2532 -5.1423
Li In Cu
1 2 2
direct
0.0000 0.0000 0.0000 Li
0.2500 0.7500 0.5000 In
0.7500 0.2500 0.5000 In
0.3867 0.3867 0.0000 Cu
0.6133 0.6133 0.0000 Cu
```

Output
Crystal system: tetragonal
D(E_F): 1.57 states/eV/f.u.
Volume: 20.89 Å³/atom
Space group: I4/mmm, No. 139
Magnetization: 0.000 μB per atom



Energies relative to the most stable structure, in meV/atom: P 0; Q 120; R 104; S 200.



--- P ---
First-principles (PBE-GGA) data for Li2InCuN after structural relaxation, as listed in the Alexandria database.

```
Li2InCuN
1.0
4.2709 0.0000 0.0000
0.0000 4.2709 0.0000
0.0000 0.0000 3.7647
Li In Cu N
2 1 1 1
direct
0.0000 0.5000 0.0000 Li
0.5000 0.0000 0.0000 Li
0.0000 0.0000 0.5000 In
0.5000 0.5000 0.5000 Cu
0.5000 0.5000 0.0000 N
```

Output
Crystal system: tetragonal
D(E_F): 2.03 states/eV/f.u.
Volume: 13.73 Å³/atom
Space group: P4/mmm, No. 123
Magnetization: 0.000 μB per atom



--- Q ---
First-principles (PBE-GGA) data for Li2InCuN after structural relaxation, as listed in the Alexandria database.

```
Li2InCuN
1.0
4.3106 0.0000 0.0000
0.0000 4.3106 0.0000
0.0000 0.0000 4.8520
Li In Cu N
2 1 1 1
direct
0.0000 0.5000 0.0000 Li
0.5000 0.0000 0.0000 Li
0.0000 0.0000 0.5000 In
0.0000 0.0000 0.0000 Cu
0.5000 0.5000 0.5000 N
```

Output
Crystal system: tetragonal
D(E_F): 3.40 states/eV/f.u.
Volume: 18.03 Å³/atom
Space group: P4/mmm, No. 123
Magnetization: 0.000 μB per atom



Energies relative to the most stable structure, in meV/atom: P 0; Q 1031.



--- P ---
First-principles (PBE-GGA) data for Mg3InCu after structural relaxation, as listed in the Alexandria database.

```
Mg3InCu
1.0
4.9364 0.0000 0.0000
0.0000 4.9364 0.0000
0.0000 0.0000 4.9364
Mg In Cu
3 1 1
direct
0.0000 0.0000 0.5000 Mg
0.0000 0.5000 0.0000 Mg
0.5000 0.0000 0.0000 Mg
0.5000 0.5000 0.5000 In
0.0000 0.0000 0.0000 Cu
```

Output
Crystal system: cubic
D(E_F): 2.54 states/eV/f.u.
Volume: 24.06 Å³/atom
Space group: Pm-3m, No. 221
Magnetization: 0.000 μB per atom



--- Q ---
First-principles (PBE-GGA) data for Mg3InCu after structural relaxation, as listed in the Alexandria database.

```
Mg3InCu
1.0
5.2353 -2.2648 0.0000
5.2353 2.2648 0.0000
-0.2226 0.0000 8.8027
Mg In Cu
6 2 2
direct
0.0959 0.0959 0.3623 Mg
0.1264 0.1264 0.8967 Mg
0.3907 0.3907 0.3656 Mg
0.6093 0.6093 0.6344 Mg
0.8736 0.8736 0.1033 Mg
0.9041 0.9041 0.6377 Mg
0.4053 0.4053 0.8660 In
0.5947 0.5947 0.1340 In
0.2459 0.2459 0.6094 Cu
0.7541 0.7541 0.3906 Cu
```

Output
Crystal system: monoclinic
D(E_F): 1.45 states/eV/f.u.
Volume: 20.87 Å³/atom
Space group: C2/m, No. 12
Magnetization: 0.000 μB per atom



Energies relative to the most stable structure, in meV/atom: P 151; Q 0.



--- P ---
First-principles (PBE-GGA) data for MgIn4Cu after structural relaxation, as listed in the Alexandria database.

```
MgIn4Cu
1.0
-3.4900 3.4900 5.6815
3.4900 -3.4900 5.6815
3.4900 3.4900 -5.6815
Mg In Cu
2 8 2
direct
0.0000 0.0000 0.0000 Mg
0.5000 0.5000 0.0000 Mg
0.0177 0.5177 0.8151 In
0.2026 0.0177 0.5000 In
0.2974 0.7974 0.8151 In
0.4823 0.2974 0.5000 In
0.5177 0.7026 0.5000 In
0.7026 0.2026 0.1849 In
0.7974 0.9823 0.5000 In
0.9823 0.4823 0.1849 In
0.2500 0.2500 0.0000 Cu
0.7500 0.7500 0.0000 Cu
```

Output
Crystal system: tetragonal
D(E_F): 1.65 states/eV/f.u.
Volume: 23.07 Å³/atom
Space group: I4/mcm, No. 140
Magnetization: 0.000 μB per atom



--- Q ---
First-principles (PBE-GGA) data for MgIn4Cu after structural relaxation, as listed in the Alexandria database.

```
MgIn4Cu
1.0
0.0000 4.2749 4.2749
4.2749 0.0000 4.2749
4.2749 4.2749 0.0000
Mg In Cu
1 4 1
direct
0.0000 0.0000 0.0000 Mg
0.3752 0.3752 0.3752 In
0.3752 0.3752 0.8743 In
0.3752 0.8743 0.3752 In
0.8743 0.3752 0.3752 In
0.7500 0.7500 0.7500 Cu
```

Output
Crystal system: cubic
D(E_F): 3.29 states/eV/f.u.
Volume: 26.04 Å³/atom
Space group: F-43m, No. 216
Magnetization: 0.000 μB per atom



Energies relative to the most stable structure, in meV/atom: P 0; Q 373.



--- P ---
First-principles (PBE-GGA) data for InCuMo2 after structural relaxation, as listed in the Alexandria database.

```
InCuMo2
1.0
2.8098 0.0000 0.0000
0.0000 4.3817 0.0000
-0.7200 0.0000 5.3436
In Cu Mo
1 1 2
direct
0.0000 0.0000 0.0000 In
0.9941 0.5000 0.7377 Cu
0.4003 0.0000 0.5092 Mo
0.5891 0.5000 0.2725 Mo
```

Output
Crystal system: monoclinic
D(E_F): 1.66 states/eV/f.u.
Volume: 16.45 Å³/atom
Space group: Pm, No. 6
Magnetization: 0.000 μB per atom



--- Q ---
First-principles (PBE-GGA) data for InCuMo2 after structural relaxation, as listed in the Alexandria database.

```
InCuMo2
1.0
0.0000 3.1872 3.1872
3.1872 0.0000 3.1872
3.1872 3.1872 0.0000
In Cu Mo
1 1 2
direct
0.0000 0.0000 0.0000 In
0.5000 0.5000 0.5000 Cu
0.2500 0.2500 0.2500 Mo
0.7500 0.7500 0.7500 Mo
```

Output
Crystal system: cubic
D(E_F): 7.35 states/eV/f.u.
Volume: 16.19 Å³/atom
Space group: Fm-3m, No. 225
Magnetization: 0.000 μB per atom



--- R ---
First-principles (PBE-GGA) data for InCuMo2 after structural relaxation, as listed in the Alexandria database.

```
InCuMo2
1.0
4.6630 -1.3776 0.0000
4.6630 1.3776 0.0000
-0.5595 0.0000 5.1039
In Cu Mo
1 1 2
direct
0.0000 0.0000 0.0000 In
0.7491 0.7491 0.2228 Cu
0.2472 0.2472 0.7007 Mo
0.4883 0.4883 0.4918 Mo
```

Output
Crystal system: monoclinic
D(E_F): 1.94 states/eV/f.u.
Volume: 16.39 Å³/atom
Space group: Cm, No. 8
Magnetization: 0.000 μB per atom



--- S ---
First-principles (PBE-GGA) data for InCuMo2 after structural relaxation, as listed in the Alexandria database.

```
InCuMo2
1.0
0.0000 3.1961 3.1961
3.1961 0.0000 3.1961
3.1961 3.1961 0.0000
In Cu Mo
1 1 2
direct
0.0000 0.0000 0.0000 In
0.2500 0.2500 0.2500 Cu
0.5000 0.5000 0.5000 Mo
0.7500 0.7500 0.7500 Mo
```

Output
Crystal system: cubic
D(E_F): 2.00 states/eV/f.u.
Volume: 16.32 Å³/atom
Space group: F-43m, No. 216
Magnetization: 0.000 μB per atom



Energies relative to the most stable structure, in meV/atom: P 0; Q 340; R 81; S 125.



--- P ---
First-principles (PBE-GGA) data for InCuMo2 after structural relaxation, as listed in the Alexandria database.

```
InCuMo2
1.0
1.4337 0.8277 9.3352
-1.4337 0.8277 9.3352
0.0000 -1.6555 9.3352
In Cu Mo
1 1 2
direct
0.0000 0.0000 0.0000 In
0.2498 0.2498 0.2498 Cu
0.5054 0.5054 0.5054 Mo
0.7552 0.7552 0.7552 Mo
```

Output
Crystal system: trigonal
D(E_F): 2.65 states/eV/f.u.
Volume: 16.62 Å³/atom
Space group: R3m, No. 160
Magnetization: 0.000 μB per atom



--- Q ---
First-principles (PBE-GGA) data for InCuMo2 after structural relaxation, as listed in the Alexandria database.

```
InCuMo2
1.0
-1.9046 1.9046 4.4499
1.9046 -1.9046 4.4499
1.9046 1.9046 -4.4499
In Cu Mo
1 1 2
direct
0.0000 0.0000 0.0000 In
0.5000 0.5000 0.0000 Cu
0.2500 0.7500 0.5000 Mo
0.7500 0.2500 0.5000 Mo
```

Output
Crystal system: tetragonal
D(E_F): 2.17 states/eV/f.u.
Volume: 16.14 Å³/atom
Space group: I4/mmm, No. 139
Magnetization: 0.000 μB per atom



Energies relative to the most stable structure, in meV/atom: P 154; Q 0.



--- P ---
First-principles (PBE-GGA) data for InCuMo2 after structural relaxation, as listed in the Alexandria database.

```
InCuMo2
1.0
1.4384 0.8304 9.2143
-1.4384 0.8304 9.2143
0.0000 -1.6609 9.2143
In Cu Mo
1 1 2
direct
0.0000 0.0000 0.0000 In
0.5000 0.5000 0.5000 Cu
0.2444 0.2444 0.2444 Mo
0.7556 0.7556 0.7556 Mo
```

Output
Crystal system: trigonal
D(E_F): 3.30 states/eV/f.u.
Volume: 16.51 Å³/atom
Space group: R-3m, No. 166
Magnetization: 0.000 μB per atom



--- Q ---
First-principles (PBE-GGA) data for InCuMo2 after structural relaxation, as listed in the Alexandria database.

```
InCuMo2
1.0
1.9729 -1.9818 0.0000
1.9729 1.9818 0.0000
0.0000 0.0000 8.2607
In Cu Mo
1 1 2
direct
0.0000 0.0000 0.0000 In
0.0000 0.0000 0.5000 Cu
0.5000 0.5000 0.2758 Mo
0.5000 0.5000 0.7242 Mo
```

Output
Crystal system: orthorhombic
D(E_F): 2.87 states/eV/f.u.
Volume: 16.15 Å³/atom
Space group: Cmmm, No. 65
Magnetization: 0.000 μB per atom



--- R ---
First-principles (PBE-GGA) data for InCuMo2 after structural relaxation, as listed in the Alexandria database.

```
InCuMo2
1.0
3.2912 0.0000 0.0000
0.0000 3.2912 0.0000
0.0000 0.0000 6.1524
In Cu Mo
1 1 2
direct
0.0000 0.0000 0.0000 In
0.5000 0.5000 0.7613 Cu
0.0000 0.0000 0.5047 Mo
0.5000 0.5000 0.3122 Mo
```

Output
Crystal system: tetragonal
D(E_F): 3.41 states/eV/f.u.
Volume: 16.66 Å³/atom
Space group: P4mm, No. 99
Magnetization: 0.000 μB per atom



--- S ---
First-principles (PBE-GGA) data for InCuMo2 after structural relaxation, as listed in the Alexandria database.

```
InCuMo2
1.0
2.7625 0.0000 0.0000
0.0000 4.3270 0.0000
0.0000 0.0000 5.4471
In Cu Mo
1 1 2
direct
0.0000 0.0000 0.0000 In
0.0000 0.0000 0.5000 Cu
0.5000 0.5000 0.2723 Mo
0.5000 0.5000 0.7277 Mo
```

Output
Crystal system: orthorhombic
D(E_F): 2.05 states/eV/f.u.
Volume: 16.28 Å³/atom
Space group: Pmmm, No. 47
Magnetization: 0.000 μB per atom



Energies relative to the most stable structure, in meV/atom: P 315; Q 182; R 0; S 124.



--- P ---
First-principles (PBE-GGA) data for InCuMo2 after structural relaxation, as listed in the Alexandria database.

```
InCuMo2
1.0
-1.7046 2.2843 4.2117
1.7046 -2.2843 4.2117
1.7046 2.2843 -4.2117
In Cu Mo
1 1 2
direct
0.0000 0.0000 0.0000 In
0.7567 0.2567 0.5000 Cu
0.2755 0.7755 0.5000 Mo
0.5012 0.5012 0.0000 Mo
```

Output
Crystal system: orthorhombic
D(E_F): 1.53 states/eV/f.u.
Volume: 16.40 Å³/atom
Space group: Imm2, No. 44
Magnetization: 0.000 μB per atom



--- Q ---
First-principles (PBE-GGA) data for InCuMo2 after structural relaxation, as listed in the Alexandria database.

```
InCuMo2
1.0
3.8035 0.0000 0.0000
0.0000 3.8035 0.0000
0.0000 0.0000 4.4638
In Cu Mo
1 1 2
direct
0.0000 0.0000 0.0000 In
0.5000 0.5000 0.0000 Cu
0.0000 0.5000 0.5000 Mo
0.5000 0.0000 0.5000 Mo
```

Output
Crystal system: tetragonal
D(E_F): 2.46 states/eV/f.u.
Volume: 16.14 Å³/atom
Space group: P4/mmm, No. 123
Magnetization: 0.000 μB per atom



Energies relative to the most stable structure, in meV/atom: P 6; Q 0.



--- P ---
First-principles (PBE-GGA) data for InCuMo2 after structural relaxation, as listed in the Alexandria database.

```
InCuMo2
1.0
2.6686 -4.4193 0.0000
2.6686 4.4193 0.0000
0.0000 0.0000 2.7558
In Cu Mo
1 1 2
direct
0.0000 0.0000 0.0000 In
0.5000 0.5000 0.0000 Cu
0.0000 0.5000 0.5000 Mo
0.5000 0.0000 0.5000 Mo
```

Output
Crystal system: orthorhombic
D(E_F): 1.70 states/eV/f.u.
Volume: 16.25 Å³/atom
Space group: Cmmm, No. 65
Magnetization: 0.000 μB per atom



--- Q ---
First-principles (PBE-GGA) data for InCuMo2 after structural relaxation, as listed in the Alexandria database.

```
InCuMo2
1.0
2.7634 0.0000 0.0000
0.0000 2.7634 0.0000
0.0000 0.0000 8.5732
In Cu Mo
1 1 2
direct
0.0000 0.0000 0.0000 In
0.5000 0.5000 0.7537 Cu
0.0000 0.0000 0.5305 Mo
0.5000 0.5000 0.2696 Mo
```

Output
Crystal system: tetragonal
D(E_F): 3.39 states/eV/f.u.
Volume: 16.37 Å³/atom
Space group: P4mm, No. 99
Magnetization: 0.000 μB per atom



Energies relative to the most stable structure, in meV/atom: P 0; Q 7.



--- P ---
First-principles (PBE-GGA) data for InCuMo2 after structural relaxation, as listed in the Alexandria database.

```
InCuMo2
1.0
1.6321 -2.3252 0.0000
1.6321 2.3252 0.0000
0.0000 0.0000 8.7771
In Cu Mo
1 1 2
direct
0.0000 0.0000 0.0000 In
0.5000 0.5000 0.2528 Cu
0.0000 0.0000 0.4879 Mo
0.5000 0.5000 0.7229 Mo
```

Output
Crystal system: orthorhombic
D(E_F): 1.65 states/eV/f.u.
Volume: 16.65 Å³/atom
Space group: Cmm2, No. 35
Magnetization: 0.000 μB per atom



--- Q ---
First-principles (PBE-GGA) data for InCuMo2 after structural relaxation, as listed in the Alexandria database.

```
InCuMo2
1.0
-3.6701 3.6701 2.5874
3.6701 -3.6701 2.5874
3.6701 3.6701 -2.5874
In Cu Mo
2 2 4
direct
0.0000 0.0000 0.0000 In
0.7500 0.2500 0.5000 In
0.2500 0.7500 0.5000 Cu
0.5000 0.5000 0.0000 Cu
0.1548 0.6250 0.0298 Mo
0.3750 0.4048 0.5298 Mo
0.5952 0.1250 0.9702 Mo
0.8750 0.8452 0.4702 Mo
```

Output
Crystal system: tetragonal
D(E_F): 4.69 states/eV/f.u.
Volume: 17.43 Å³/atom
Space group: I-42d, No. 122
Magnetization: 0.000 μB per atom



Energies relative to the most stable structure, in meV/atom: P 0; Q 534.



--- P ---
First-principles (PBE-GGA) data for In2CuMo after structural relaxation, as listed in the Alexandria database.

```
In2CuMo
1.0
4.4085 0.0000 0.0000
0.0000 4.4085 0.0000
0.0000 0.0000 3.6502
In Cu Mo
2 1 1
direct
0.0000 0.5000 0.0000 In
0.5000 0.0000 0.0000 In
0.0000 0.0000 0.5000 Cu
0.5000 0.5000 0.5000 Mo
```

Output
Crystal system: tetragonal
D(E_F): 2.49 states/eV/f.u.
Volume: 17.74 Å³/atom
Space group: P4/mmm, No. 123
Magnetization: 0.000 μB per atom



--- Q ---
First-principles (PBE-GGA) data for In2CuMo after structural relaxation, as listed in the Alexandria database.

```
In2CuMo
1.0
4.7047 -1.4665 0.0000
4.7047 1.4665 0.0000
-1.2083 0.0000 5.2802
In Cu Mo
2 1 1
direct
0.2419 0.2419 0.2461 In
0.7581 0.7581 0.7539 In
0.5000 0.5000 0.0000 Cu
0.0000 0.0000 0.5000 Mo
```

Output
Crystal system: monoclinic
D(E_F): 2.03 states/eV/f.u.
Volume: 18.22 Å³/atom
Space group: C2/m, No. 12
Magnetization: 0.000 μB per atom



Energies relative to the most stable structure, in meV/atom: P 0; Q 141.